Entry 1:
Er2ReAg | PBE | relaxed

```
4
Lattice="3.435 0.000 0.000 0.000 3.435 0.000 0.000 0.000 7.370" Properties=species:S:1:pos:R:3 pbc="T T T"
Er 0.000 0.000 1.645
Er 0.000 0.000 5.726
Re 1.718 1.718 0.000
Ag 1.718 1.718 3.685
```

Calculated values
* symmetry: P4/mmm, No. 123
* total magnetization: 0.000 μB/f.u.
* E_form: -0.110 eV per atom



Entry 2:
La5ReN6 | PBE | relaxed

```
12
Lattice="3.112 -5.374 0.000 3.112 5.374 0.000 -2.075 0.000 5.817" Properties=species:S:1:pos:R:3 pbc="T T T"
La 0.000 0.000 0.000
La 2.075 3.580 2.908
La 3.112 1.748 0.000
La 3.112 -1.748 0.000
La 2.075 -3.580 2.908
Re 2.075 0.000 2.908
N 1.181 1.541 1.657
N 0.188 0.000 4.290
N 1.181 -1.541 1.657
N 2.969 1.541 4.159
N 3.961 0.000 1.526
N 2.969 -1.541 4.159
```

Calculated values
* raw formation energy: -1118.4 kJ/mol of formula units
* symmetry: C2/m, No. 12
* total magnetization: 0.004 μB/f.u.



Entry 3:
Li2CaCu | PBE | relaxed

```
8
Lattice="2.067 -5.279 0.000 2.067 5.279 0.000 0.000 0.000 7.956" Properties=species:S:1:pos:R:3 pbc="T T T"
Li 2.067 3.572 4.439
Li 2.067 3.572 7.494
Li 2.067 -3.572 0.461
Li 2.067 -3.572 3.516
Ca 2.067 0.581 5.967
Ca 2.067 -0.581 1.989
Cu 2.067 2.453 1.989
Cu 2.067 -2.453 5.967
```

Calculated values
* E above lowest polymorph: 0.00 kJ/mol of atoms
* symmetry: Cmcm, No. 63
* total magnetization: 0.000 μB/f.u.
* E_form: -0.037 eV per atom



Entry 4:
Mg12Cd6In | PBE | relaxed

```
19
Lattice="6.433 3.714 3.099 -6.433 3.714 3.099 0.000 -7.428 3.099" Properties=species:S:1:pos:R:3 pbc="T T T"
Mg -4.509 1.588 3.822
Mg -3.630 -3.111 5.475
Mg -2.529 -0.685 3.880
Mg 0.880 -4.699 3.822
Mg -0.672 -2.532 5.417
Mg 1.857 -1.848 3.880
Mg -1.857 1.848 5.417
Mg 0.672 2.532 3.880
Mg -0.880 4.699 5.475
Mg 2.529 0.685 5.417
Mg 3.630 3.111 3.822
Mg 4.509 -1.588 5.475
Cd -0.724 -2.462 2.340
Cd -1.770 1.858 2.340
Cd 2.494 0.604 2.340
Cd -2.494 -0.604 6.957
Cd 1.770 -1.858 6.957
Cd 0.724 2.462 6.957
In 0.000 0.000 0.000
```

Calculated values
* E above lowest polymorph: 6.89 kJ/mol of atoms
* symmetry: R-3, No. 148
* total magnetization: 0.000 μB/f.u.
* E_form: -0.003 eV per atom



> Which of these has the highest total magnetization?

La5ReN6



> The highest total magnetization belongs to which entry?

La5ReN6



Copy entry 3 word for word.
Li2CaCu | PBE | relaxed

```
8
Lattice="2.067 -5.279 0.000 2.067 5.279 0.000 0.000 0.000 7.956" Properties=species:S:1:pos:R:3 pbc="T T T"
Li 2.067 3.572 4.439
Li 2.067 3.572 7.494
Li 2.067 -3.572 0.461
Li 2.067 -3.572 3.516
Ca 2.067 0.581 5.967
Ca 2.067 -0.581 1.989
Cu 2.067 2.453 1.989
Cu 2.067 -2.453 5.967
```

Calculated values
* E above lowest polymorph: 0.00 kJ/mol of atoms
* symmetry: Cmcm, No. 63
* total magnetization: 0.000 μB/f.u.
* E_form: -0.037 eV per atom